K2ZrMnO4 PBE+U optimized geometry; calculated density = 4.058 g cm⁻³; space group = No. 10; electronic total energy = -6.956 eV per atom; total magnetization = 5.0 μB/f.u.
1.0
5.7814 0.0000 0.0000
0.0000 3.3058 0.0000
-2.0142 0.0000 6.1736
K Zr Mn O
2 1 1 4
Cartesian
0.0000 0.0000 0.0000
2.8907 1.6529 0.0000
-1.0071 1.6529 3.0868
1.8836 0.0000 3.0868
-0.1874 0.0000 4.2488
0.8230 1.6529 1.9978
2.9443 1.6529 4.1758
3.9546 0.0000 1.9248